The following is a DFT calculation (SCAN) of a crystal of ReNiIr2 relaxed with PBEsol.

Output
Total magnetization (μB per atom): 0.000
Uncorrected energy (eV per atom): -57.428
Relative energy among the computed polymorphs (eV/atom): 0.097
Space-group type: No. 25
E_form (eV per atom): -0.060

a b c (Å): 2.6809 3.7643 5.2994
angles (deg): 90.00 90.00 90.00
Fractional positions:
1 Ir 0.0000 0.0000 0.9903
2 Ir 0.5000 0.5000 0.2668
3 Ni 0.0000 0.0000 0.5026
4 Re 0.5000 0.5000 0.7403